Below is crystalline KRb2GeI6 at its relaxed geometry, with properties calculated at the PBE level.

Results
- theoretical density (g/cm3) = 3.58
- total moment (μB/atom) = 0.00
- formation energy (no corrections) (eV/atom) = -0.89
- calculated total energy (eV per atom) = -2.586

Structure (POSCAR):
```
KRb2GeI6
1.0
0.000 6.231 6.231
6.231 0.000 6.231
6.231 6.231 0.000
K Rb Ge I
1 2 1 6
Cartesian
0.000 0.000 0.000
3.115 3.115 3.115
9.346 9.346 9.346
6.231 6.231 6.231
6.231 6.231 3.356
6.231 3.356 6.231
9.106 6.231 6.231
3.356 6.231 6.231
6.231 9.106 6.231
6.231 6.231 9.106
```